The following is a DFT calculation (GGA-PBE) of crystalline LiSbTe2Se at its relaxed geometry.

a b c (Å): 5.5679 5.5679 5.4763
angles (deg): 90.00 90.00 90.00
Space group P4/mmm (No. 123)
One atom of each set of equivalent atoms:
Li (0.0000, 0.0000, 0.0000) x1
Sb (0.5000, 0.5000, 0.0000) x1
Te (0.0000, 0.5000, 0.5000) x2
Se (0.5000, 0.5000, 0.5000) x1

Values from the calculation:
offset from the most stable computed form	0	meV per atom
E_tot	-0.2127	Ry per atom
ρ	4.53	Mg/m³
magnetic moment	1.168	Bohr magnetons per cell
uncorrected formation energy	266	meV/atom
D(E_F)	0.52	states/eV/atom